Below is a relaxed CaC2 crystal, with properties calculated at the PBE level.

POSCAR file:
```
CaC2
1.0
6.0779 0.0000 0.0000
0.0000 6.0779 0.0000
0.0000 0.0000 6.0779
Ca C
4 8
direct
0.0000 0.0000 0.0000
0.0000 0.5000 0.5000
0.5000 0.0000 0.5000
0.5000 0.5000 0.0000
0.1588 0.1588 0.3412
0.1588 0.3412 0.1588
0.3412 0.1588 0.1588
0.3412 0.3412 0.3412
0.6588 0.6588 0.6588
0.6588 0.8412 0.8412
0.8412 0.6588 0.8412
0.8412 0.8412 0.6588
```

Output
Raw total energy   -72.65 eV per cell
Distance to the lowest polymorph of the same formula   2.242 eV per formula unit
Formation energy   0.7620 eV per atom
Calculated volume   18.71 Å³ per atom